#A
Density functional theory data (PBE-GGA) for PmGdBi2 after structural relaxation.

DOS at the Fermi energy = 2.008 states/eV/f.u.

Structure (CIF):
```
data_PmGdBi2
_cell_length_a 4.5483
_cell_length_b 4.5483
_cell_length_c 22.2765
_cell_angle_alpha 90.00
_cell_angle_beta 90.00
_cell_angle_gamma 120.00
_space_group_name_H-M_alt 'R -3 m'
_space_group_IT_number 166
_space_group_name_Hall '-R 3 2"'
loop_
_atom_site_label
_atom_site_fract_x
_atom_site_fract_y
_atom_site_fract_z
Pm1 0.0000 0.0000 0.0000
Gd1 0.0000 0.0000 0.5000
Bi1 0.0000 0.0000 0.2484
```



#B
Density functional theory data (PBE-GGA) for PmGdBi2 after structural relaxation.

DOS at the Fermi energy = 3.748 states/eV/f.u.

Structure (CIF):
```
data_PmGdBi2
_cell_length_a 5.907
_cell_length_b 5.907
_cell_length_c 3.465
_cell_angle_alpha 90.00
_cell_angle_beta 90.00
_cell_angle_gamma 90.00
_space_group_name_H-M_alt 'P 4/m m m'
_space_group_IT_number 123
_space_group_name_Hall '-P 4 2'
loop_
_atom_site_label
_atom_site_fract_x
_atom_site_fract_y
_atom_site_fract_z
Pm1 0.000 0.000 0.000
Gd1 0.500 0.500 0.000
Bi1 0.000 0.500 0.500
```



#C
Density functional theory data (PBE-GGA) for PmGdBi2 after structural relaxation.

DOS at the Fermi energy = 3.579 states/eV/f.u.

Structure (CIF):
```
data_PmGdBi2
_cell_length_a 3.839
_cell_length_b 3.839
_cell_length_c 8.245
_cell_angle_alpha 90.00
_cell_angle_beta 90.00
_cell_angle_gamma 90.00
_space_group_name_H-M_alt 'P 4/m m m'
_space_group_IT_number 123
_space_group_name_Hall '-P 4 2'
loop_
_atom_site_label
_atom_site_fract_x
_atom_site_fract_y
_atom_site_fract_z
Pm1 0.000 0.000 0.000
Gd1 0.000 0.000 0.500
Bi1 0.500 0.500 0.253
```



In meV/atom, relative to the most stable structure: #A 0; #B 196; #C 235.



#A
Density functional theory data (PBE-GGA) for Gd2BiPt after structural relaxation.

DOS at the Fermi energy = 3.653 states/eV/f.u.

Structure (CIF):
```
data_Gd2BiPt
_cell_length_a 3.611
_cell_length_b 3.611
_cell_length_c 7.926
_cell_angle_alpha 90.00
_cell_angle_beta 90.00
_cell_angle_gamma 90.00
_space_group_name_H-M_alt 'P 4/m m m'
_space_group_IT_number 123
_space_group_name_Hall '-P 4 2'
loop_
_atom_site_label
_atom_site_fract_x
_atom_site_fract_y
_atom_site_fract_z
Gd1 0.000 0.000 0.213
Bi1 0.500 0.500 0.500
Pt1 0.500 0.500 0.000
```



#B
Density functional theory data (PBE-GGA) for Gd2BiPt after structural relaxation.

DOS at the Fermi energy = 2.312 states/eV/f.u.

Structure (CIF):
```
data_Gd2BiPt
_cell_length_a 4.3261
_cell_length_b 4.3261
_cell_length_c 21.2340
_cell_angle_alpha 90.00
_cell_angle_beta 90.00
_cell_angle_gamma 120.00
_space_group_name_H-M_alt 'R -3 m'
_space_group_IT_number 166
_space_group_name_Hall '-R 3 2"'
loop_
_atom_site_label
_atom_site_fract_x
_atom_site_fract_y
_atom_site_fract_z
Gd1 0.0000 0.0000 0.2392
Bi1 0.0000 0.0000 0.0000
Pt1 0.0000 0.0000 0.5000
```



In meV/atom, relative to the most stable structure: #A 13; #B 0.



#A
Density functional theory data (PBE-GGA) for GdSc2Bi after structural relaxation.

DOS at the Fermi energy = 5.945 states/eV/f.u.

Structure (CIF):
```
data_GdSc2Bi
_cell_length_a 4.746
_cell_length_b 4.746
_cell_length_c 4.578
_cell_angle_alpha 90.00
_cell_angle_beta 90.00
_cell_angle_gamma 90.00
_space_group_name_H-M_alt 'P 4/m m m'
_space_group_IT_number 123
_space_group_name_Hall '-P 4 2'
loop_
_atom_site_label
_atom_site_fract_x
_atom_site_fract_y
_atom_site_fract_z
Gd1 0.000 0.000 0.000
Sc1 0.000 0.500 0.500
Bi1 0.500 0.500 0.000
```



#B
Density functional theory data (PBE-GGA) for GdSc2Bi after structural relaxation.

DOS at the Fermi energy = 4.996 states/eV/f.u.

Structure (CIF):
```
data_GdSc2Bi
_cell_length_a 3.932
_cell_length_b 3.932
_cell_length_c 6.873
_cell_angle_alpha 90.00
_cell_angle_beta 90.00
_cell_angle_gamma 90.00
_space_group_name_H-M_alt 'P 4/m m m'
_space_group_IT_number 123
_space_group_name_Hall '-P 4 2'
loop_
_atom_site_label
_atom_site_fract_x
_atom_site_fract_y
_atom_site_fract_z
Gd1 0.000 0.000 0.000
Sc1 0.500 0.500 0.271
Bi1 0.000 0.000 0.500
```



#C
Density functional theory data (PBE-GGA) for GdSc2Bi after structural relaxation.

DOS at the Fermi energy = 6.305 states/eV/f.u.

Structure (CIF):
```
data_GdSc2Bi
_cell_length_a 3.4166
_cell_length_b 3.4166
_cell_length_c 33.5008
_cell_angle_alpha 90.00
_cell_angle_beta 90.00
_cell_angle_gamma 120.00
_space_group_name_H-M_alt 'R -3 m'
_space_group_IT_number 166
_space_group_name_Hall '-R 3 2"'
loop_
_atom_site_label
_atom_site_fract_x
_atom_site_fract_y
_atom_site_fract_z
Gd1 0.0000 0.0000 0.0000
Sc1 0.0000 0.0000 0.0927
Bi1 0.0000 0.0000 0.5000
```



In meV/atom, relative to the most stable structure: #A 0; #B 40; #C 444.



#A
Density functional theory data (PBE-GGA) for GdScBi after structural relaxation.

DOS at the Fermi energy = 5.337 states/eV/f.u.

Structure (CIF):
```
data_GdScBi
_cell_length_a 5.0347
_cell_length_b 5.0347
_cell_length_c 3.9358
_cell_angle_alpha 90.00
_cell_angle_beta 90.00
_cell_angle_gamma 120.00
_space_group_name_H-M_alt 'P -6 m 2'
_space_group_IT_number 187
_space_group_name_Hall 'P -6 2'
loop_
_atom_site_label
_atom_site_fract_x
_atom_site_fract_y
_atom_site_fract_z
Gd1 0.0000 0.0000 0.0000
Sc1 0.6667 0.3333 0.5000
Bi1 0.3333 0.6667 0.5000
```



#B
Density functional theory data (PBE-GGA) for GdScBi after structural relaxation.

DOS at the Fermi energy = 2.392 states/eV/f.u.

Structure (CIF):
```
data_GdScBi
_cell_length_a 3.949
_cell_length_b 3.949
_cell_length_c 10.633
_cell_angle_alpha 90.00
_cell_angle_beta 90.00
_cell_angle_gamma 90.00
_space_group_name_H-M_alt 'I 4 m m'
_space_group_IT_number 107
_space_group_name_Hall 'I 4 -2'
loop_
_atom_site_label
_atom_site_fract_x
_atom_site_fract_y
_atom_site_fract_z
Gd1 0.000 0.000 0.000
Sc1 0.000 0.000 0.313
Bi1 0.000 0.000 0.676
```



In meV/atom, relative to the most stable structure: #A 149; #B 0.



#A
Density functional theory data (PBE-GGA) for SmGd2Bi after structural relaxation.

DOS at the Fermi energy = 5.042 states/eV/f.u.

Structure (CIF):
```
data_SmGd2Bi
_cell_length_a 3.5711
_cell_length_b 3.5711
_cell_length_c 36.5810
_cell_angle_alpha 90.00
_cell_angle_beta 90.00
_cell_angle_gamma 120.00
_space_group_name_H-M_alt 'R -3 m'
_space_group_IT_number 166
_space_group_name_Hall '-R 3 2"'
loop_
_atom_site_label
_atom_site_fract_x
_atom_site_fract_y
_atom_site_fract_z
Sm1 0.0000 0.0000 0.0000
Gd1 0.0000 0.0000 0.4129
Bi1 0.0000 0.0000 0.5000
```



#B
Density functional theory data (PBE-GGA) for SmGd2Bi after structural relaxation.

DOS at the Fermi energy = 5.466 states/eV/f.u.

Structure (CIF):
```
data_SmGd2Bi
_cell_length_a 4.904
_cell_length_b 4.904
_cell_length_c 4.976
_cell_angle_alpha 90.00
_cell_angle_beta 90.00
_cell_angle_gamma 90.00
_space_group_name_H-M_alt 'P 4/m m m'
_space_group_IT_number 123
_space_group_name_Hall '-P 4 2'
loop_
_atom_site_label
_atom_site_fract_x
_atom_site_fract_y
_atom_site_fract_z
Sm1 0.000 0.000 0.000
Gd1 0.000 0.500 0.500
Bi1 0.500 0.500 0.000
```



In meV/atom, relative to the most stable structure: #A 418; #B 0.



#A
Density functional theory data (PBE-GGA) for SmGdBi2 after structural relaxation.

DOS at the Fermi energy = 3.711 states/eV/f.u.

Structure (CIF):
```
data_SmGdBi2
_cell_length_a 5.892
_cell_length_b 5.892
_cell_length_c 3.460
_cell_angle_alpha 90.00
_cell_angle_beta 90.00
_cell_angle_gamma 90.00
_space_group_name_H-M_alt 'P 4/m m m'
_space_group_IT_number 123
_space_group_name_Hall '-P 4 2'
loop_
_atom_site_label
_atom_site_fract_x
_atom_site_fract_y
_atom_site_fract_z
Sm1 0.000 0.000 0.000
Gd1 0.500 0.500 0.000
Bi1 0.000 0.500 0.500
```



#B
Density functional theory data (PBE-GGA) for SmGdBi2 after structural relaxation.

DOS at the Fermi energy = 3.657 states/eV/f.u.

Structure (CIF):
```
data_SmGdBi2
_cell_length_a 3.833
_cell_length_b 3.833
_cell_length_c 8.221
_cell_angle_alpha 90.00
_cell_angle_beta 90.00
_cell_angle_gamma 90.00
_space_group_name_H-M_alt 'P 4/m m m'
_space_group_IT_number 123
_space_group_name_Hall '-P 4 2'
loop_
_atom_site_label
_atom_site_fract_x
_atom_site_fract_y
_atom_site_fract_z
Sm1 0.000 0.000 0.000
Gd1 0.000 0.000 0.500
Bi1 0.500 0.500 0.252
```



#C
Density functional theory data (PBE-GGA) for SmGdBi2 after structural relaxation.

DOS at the Fermi energy = 2.053 states/eV/f.u.

Structure (CIF):
```
data_SmGdBi2
_cell_length_a 4.5385
_cell_length_b 4.5385
_cell_length_c 22.2315
_cell_angle_alpha 90.00
_cell_angle_beta 90.00
_cell_angle_gamma 120.00
_space_group_name_H-M_alt 'R -3 m'
_space_group_IT_number 166
_space_group_name_Hall '-R 3 2"'
loop_
_atom_site_label
_atom_site_fract_x
_atom_site_fract_y
_atom_site_fract_z
Sm1 0.0000 0.0000 0.0000
Gd1 0.0000 0.0000 0.5000
Bi1 0.0000 0.0000 0.2488
```



In meV/atom, relative to the most stable structure: #A 199; #B 237; #C 0.



#A
Density functional theory data (PBE-GGA) for SrGdBi2 after structural relaxation.

DOS at the Fermi energy = 2.976 states/eV/f.u.

Structure (CIF):
```
data_SrGdBi2
_cell_length_a 8.067
_cell_length_b 8.067
_cell_length_c 8.067
_cell_angle_alpha 90.00
_cell_angle_beta 90.00
_cell_angle_gamma 90.00
_space_group_name_H-M_alt 'F m -3 m'
_space_group_IT_number 225
_space_group_name_Hall '-F 4 2 3'
loop_
_atom_site_label
_atom_site_fract_x
_atom_site_fract_y
_atom_site_fract_z
Sr1 0.000 0.000 0.000
Gd1 0.000 0.000 0.500
Bi1 0.250 0.250 0.250
```



#B
Density functional theory data (PBE-GGA) for SrGdBi2 after structural relaxation.

DOS at the Fermi energy = 3.163 states/eV/f.u.

Structure (CIF):
```
data_SrGdBi2
_cell_length_a 6.043
_cell_length_b 6.043
_cell_length_c 3.547
_cell_angle_alpha 90.00
_cell_angle_beta 90.00
_cell_angle_gamma 90.00
_space_group_name_H-M_alt 'P 4/m m m'
_space_group_IT_number 123
_space_group_name_Hall '-P 4 2'
loop_
_atom_site_label
_atom_site_fract_x
_atom_site_fract_y
_atom_site_fract_z
Sr1 0.000 0.000 0.000
Gd1 0.500 0.500 0.000
Bi1 0.000 0.500 0.500
```



In meV/atom, relative to the most stable structure: #A 36; #B 0.